Entry 1:
First-principles (PBE-GGA) data for RbHfSe2 after structural relaxation, as listed in Alexandria via LeMat-Bulk.

abc: 7.095 3.770 9.323
angles: 90.00 100.34 90.00
Sites, in units of the cell vectors:
Rb (0.217, 0.250, 0.355)
Rb (0.783, 0.750, 0.645)
Hf (0.367, 0.250, 0.876)
Hf (0.633, 0.750, 0.124)
Se (0.256, 0.750, 0.052)
Se (0.286, 0.750, 0.669)
Se (0.714, 0.250, 0.331)
Se (0.744, 0.250, 0.948)

Calculated values
- E: -5.68 eV per atom


Entry 2:
First-principles (PBE-GGA) data for RbHf3Se6 after structural relaxation, as listed in Alexandria via LeMat-Bulk.

abc: 12.279 3.782 12.875
angles: 90.00 102.58 90.00
Sites, in units of the cell vectors:
Rb (0.127, 0.250, 0.334)
Rb (0.873, 0.750, 0.666)
Hf (0.135, 0.250, 0.963)
Hf (0.279, 0.750, 0.771)
Hf (0.425, 0.250, 0.590)
Hf (0.575, 0.750, 0.410)
Hf (0.721, 0.250, 0.229)
Hf (0.865, 0.750, 0.037)
Se (0.090, 0.750, 0.102)
Se (0.118, 0.250, 0.748)
Se (0.261, 0.750, 0.557)
Se (0.293, 0.750, 0.979)
Se (0.416, 0.250, 0.378)
Se (0.437, 0.250, 0.799)
Se (0.563, 0.750, 0.201)
Se (0.584, 0.750, 0.622)
Se (0.707, 0.250, 0.021)
Se (0.739, 0.250, 0.443)
Se (0.882, 0.750, 0.252)
Se (0.910, 0.250, 0.898)

Calculated values
- E: -6.52 eV per atom


Entry 3:
First-principles (PBE-GGA) data for Rb4HfSe4 after structural relaxation, as listed in Alexandria via LeMat-Bulk.

abc: 9.660 9.660 7.645
angles: 90.00 90.00 90.00
Sites, in units of the cell vectors:
Rb (0.027, 0.250, 0.107)
Rb (0.250, 0.027, 0.607)
Rb (0.250, 0.473, 0.607)
Rb (0.473, 0.250, 0.107)
Rb (0.527, 0.750, 0.893)
Rb (0.750, 0.527, 0.393)
Rb (0.750, 0.973, 0.393)
Rb (0.973, 0.750, 0.893)
Hf (0.250, 0.750, 0.250)
Hf (0.750, 0.250, 0.750)
Se (0.036, 0.750, 0.440)
Se (0.250, 0.536, 0.060)
Se (0.250, 0.964, 0.060)
Se (0.464, 0.750, 0.440)
Se (0.536, 0.250, 0.560)
Se (0.750, 0.036, 0.940)
Se (0.750, 0.464, 0.940)
Se (0.964, 0.250, 0.560)

Calculated values
- E: -4.39 eV per atom


Entry 4:
First-principles (PBE-GGA) data for Rb2Hf3Se6 after structural relaxation, as listed in Alexandria via LeMat-Bulk.

abc: 6.605 6.605 8.611
angles: 97.36 97.36 120.00
Sites, in units of the cell vectors:
Rb (0.167, 0.833, 0.000)
Rb (0.833, 0.167, 0.000)
Hf (0.000, 0.000, 0.500)
Hf (0.332, 0.668, 0.500)
Hf (0.668, 0.332, 0.500)
Se (0.067, 0.397, 0.691)
Se (0.273, 0.273, 0.310)
Se (0.397, 0.067, 0.691)
Se (0.603, 0.933, 0.309)
Se (0.727, 0.727, 0.690)
Se (0.933, 0.603, 0.309)

Calculated values
- E: -6.14 eV per atom


The raw formation energy results, record by record, are as follows: -1.204 -1.342 -1.305 -1.347 eV/atom.